NbGePCl2, optimized geometry, DFT PBE-GGA; theoretical density = 3.919 g cm⁻³; DOS(E_F) = 5.5 states/eV per cell; ΔE_f (raw) = 0.614 eV per atom
1.0
4.756 0.000 0.000
0.000 4.756 0.000
0.000 0.000 5.009
Nb Ge P Cl
1 1 1 2
direct
0.000 0.000 0.000
0.500 0.500 0.500
0.500 0.500 0.000
0.000 0.500 0.500
0.500 0.000 0.500

=====

NbGePCl2, optimized geometry, DFT PBE-GGA; theoretical density = 3.810 g cm⁻³; DOS(E_F) = 4.0 states/eV per cell; ΔE_f (raw) = 0.030 eV per atom
1.0
4.800 0.000 0.000
0.000 4.800 0.000
0.000 0.000 5.060
Nb Ge P Cl
1 1 1 2
direct
0.000 0.000 0.000
0.500 0.500 0.500
0.000 0.000 0.500
0.000 0.500 0.000
0.500 0.000 0.000

=====

NbGeS2Cl, optimized geometry, DFT PBE-GGA; theoretical density = 4.146 g cm⁻³; DOS(E_F) = 4.5 states/eV per cell; ΔE_f (raw) = 0.454 eV per atom
1.0
4.773 0.000 0.000
0.000 4.773 0.000
0.000 0.000 4.662
Nb Ge S Cl
1 1 2 1
direct
0.000 0.000 0.000
0.500 0.500 0.500
0.000 0.500 0.500
0.500 0.000 0.500
0.500 0.500 0.000

=====

NbGeS2Cl, optimized geometry, DFT PBE-GGA; theoretical density = 3.894 g cm⁻³; DOS(E_F) = 3.7 states/eV per cell; ΔE_f (raw) = -0.177 eV per atom
1.0
4.850 0.000 0.000
0.000 4.850 0.000
0.000 0.000 4.806
Nb Ge S Cl
1 1 2 1
direct
0.000 0.000 0.000
0.500 0.500 0.500
0.000 0.500 0.000
0.500 0.000 0.000
0.000 0.000 0.500

=====

SrNb2GeCl, optimized geometry, DFT PBE-GGA; theoretical density = 4.280 g cm⁻³; DOS(E_F) = 5.3 states/eV per cell; ΔE_f (raw) = 2.239 eV per atom
1.0
5.224 0.000 0.000
0.000 5.224 0.000
0.000 0.000 5.423
Sr Nb Ge Cl
1 2 1 1
direct
0.000 0.000 0.000
0.000 0.500 0.000
0.500 0.000 0.000
0.000 0.000 0.500
0.500 0.500 0.500

=====

Nb2GeTeCl, optimized geometry, DFT PBE-GGA; theoretical density = 4.745 g cm⁻³; DOS(E_F) = 5.2 states/eV per cell; ΔE_f (raw) = 1.373 eV per atom
1.0
5.226 0.000 0.000
0.000 5.226 0.000
0.000 0.000 5.402
Nb Ge Te Cl
2 1 1 1
direct
0.000 0.500 0.000
0.500 0.000 0.000
0.000 0.000 0.500
0.000 0.000 0.000
0.500 0.500 0.500

=====

Nb2GeWCl, optimized geometry, DFT PBE-GGA; theoretical density = 6.571 g cm⁻³; DOS(E_F) = 5.8 states/eV per cell; ΔE_f (raw) = 1.159 eV per atom
1.0
4.986 0.000 0.000
0.000 4.986 0.000
0.000 0.000 4.857
Nb Ge W Cl
2 1 1 1
direct
0.000 0.500 0.000
0.500 0.000 0.000
0.000 0.000 0.500
0.000 0.000 0.000
0.500 0.500 0.500

=====

ZrNb2GeCl, optimized geometry, DFT PBE-GGA; theoretical density = 6.190 g cm⁻³; DOS(E_F) = 6.3 states/eV per cell; ΔE_f (raw) = 0.571 eV per atom
1.0
4.493 0.000 0.000
0.000 4.493 0.000
0.000 0.000 5.118
Zr Nb Ge Cl
1 2 1 1
direct
0.000 0.000 0.000
0.000 0.500 0.500
0.500 0.000 0.500
0.500 0.500 0.000
0.500 0.500 0.500

=====

Nd4Ge3Cl, optimized geometry, DFT PBE-GGA; theoretical density = 6.247 g cm⁻³; DOS(E_F) = 5.1 states/eV per cell; ΔE_f (raw) = -1.032 eV per atom
1.0
4.255 -6.019 0.000
4.255 6.019 0.000
0.000 0.000 4.309
Nd Ge Cl
4 3 1
direct
0.238 0.238 0.500
0.249 0.751 0.000
0.751 0.249 0.000
0.762 0.762 0.500
0.000 0.000 0.000
0.000 0.500 0.500
0.500 0.000 0.500
0.500 0.500 0.000

=====

Nd4Ge2Cl3, optimized geometry, DFT PBE-GGA; theoretical density = 5.166 g cm⁻³; DOS(E_F) = 3.1 states/eV per cell; ΔE_f (raw) = -1.472 eV per atom
1.0
3.686 -2.128 0.000
3.686 2.128 0.000
-0.054 0.000 16.974
Nd Ge Cl
4 2 3
direct
0.002 0.002 0.304
0.334 0.334 0.110
0.666 0.666 0.890
0.998 0.998 0.696
0.332 0.332 0.796
0.668 0.668 0.204
0.000 0.000 0.000
0.336 0.336 0.397
0.664 0.664 0.603

=====

Nd7GeCl12, optimized geometry, DFT PBE-GGA; theoretical density = 4.016 g cm⁻³; DOS(E_F) = 9.3 states/eV per cell; ΔE_f (raw) = -1.942 eV per atom
1.0
7.397 4.270 3.290
-7.397 4.270 3.290
0.000 -8.541 3.290
Nd Ge Cl
7 1 12
direct
0.000 0.000 0.000
0.165 0.383 0.467
0.383 0.467 0.165
0.467 0.165 0.383
0.533 0.835 0.617
0.617 0.533 0.835
0.835 0.617 0.533
0.500 0.500 0.500
0.030 0.335 0.115
0.115 0.030 0.335
0.191 0.722 0.579
0.278 0.421 0.809
0.335 0.115 0.030
0.421 0.809 0.278
0.579 0.191 0.722
0.665 0.885 0.970
0.722 0.579 0.191
0.809 0.278 0.421
0.885 0.970 0.665
0.970 0.665 0.885

=====

Nd8Ge5Cl, optimized geometry, DFT PBE-GGA; theoretical density = 6.787 g cm⁻³; DOS(E_F) = 13.1 states/eV per cell; ΔE_f (raw) = -0.870 eV per atom
1.0
-4.546 4.546 4.594
4.546 -4.546 4.594
4.546 4.546 -4.594
Nd Ge Cl
8 5 1
direct
0.005 0.889 0.259
0.111 0.371 0.116
0.125 0.374 0.612
0.254 0.995 0.884
0.487 0.875 0.249
0.626 0.238 0.751
0.629 0.746 0.741
0.762 0.513 0.388
0.250 0.750 0.500
0.380 0.254 0.377
0.746 0.123 0.126
0.877 0.004 0.623
0.996 0.620 0.874
0.500 0.500 0.000